TlSi3Ni | GGA-PBE | optimized geometry

Energy ... -0.16390 hartree per atom
Crystal system ... cubic
E_form (uncorrected) ... 0.4233 eV per atom
Fermi-level density of states ... 3.94 states/eV per cell
Excess energy over the best structure of this formula in the dataset ... 0 kJ/mol of formula units

Unit cell a=4.556 b=4.556 c=4.556 alpha=90.00 beta=90.00 gamma=90.00
Atoms (fractional coordinates):
1 Tl 0.000 0.000 0.000
2 Si 0.000 0.500 0.500
3 Si 0.500 0.000 0.500
4 Si 0.500 0.500 0.000
5 Ni 0.500 0.500 0.500